K3MoRh3O8, relaxed, DFT GGA+U; ρ = 5.1 g cm⁻³; calculated volume = 212 Å³/f.u.; E = -89.619 eV per cell
1.0
-5.584 0.858 2.693
2.281 -5.926 -0.656
3.032 4.161 4.963
Rh O Mo K
3 8 1 3
direct
0.500 0.500 0.500
0.000 0.500 0.500
0.500 0.000 0.500
0.783 0.054 0.329
0.279 0.557 0.335
0.729 0.946 0.671
0.271 0.054 0.329
0.227 0.454 0.676
0.217 0.946 0.671
0.773 0.546 0.324
0.721 0.443 0.665
0.000 0.000 0.500
0.000 0.500 0.000
0.500 0.500 0.000
0.000 0.000 0.000